(1)
# PaMnCu

An optimized crystal structure of PaMnCu (PBE, Alexandria).

Cell and atoms, written as extended XYZ:
```
6
Lattice="-2.9867 3.1508 0.0692 0.0673 0.1672 -4.7089 -3.5994 -3.4445 1.4772" Properties=species:S:1:pos:R:3 pbc="T T T"
Mn -1.0654 0.5792 -4.2484
Mn -5.4534 -0.7057 1.0859
Cu -3.0179 -1.3803 0.6995
Cu -3.5009 1.2537 -3.8620
Pa -1.5375 0.0759 -1.7047
Pa -4.9814 -0.2024 -1.4578
```

- SG = No. 11
- total DFT energy (no corrections) (eV/atom) = -7.60

(2)
# Pr3Dy6Ho2Mg

An optimized crystal structure of Pr3Dy6Ho2Mg (PBE, Alexandria).

Cell and atoms, written as extended XYZ:
```
12
Lattice="-3.0993 4.4741 -2.9476 -3.0283 -4.9179 2.2261 0.4781 5.6715 10.2891" Properties=species:S:1:pos:R:3 pbc="T T T"
Dy -4.4651 1.0522 1.9715
Dy -1.1843 4.1754 7.5961
Dy -1.3817 -0.2902 3.1862
Dy -1.4053 2.8320 1.4663
Dy -4.2442 2.3957 8.1013
Dy -4.2678 5.5178 6.3814
Pr -2.8010 -0.5253 6.5130
Pr -2.8247 2.6138 4.7838
Pr -2.8485 5.7530 3.0546
Ho -3.0520 -1.7837 0.4995
Ho -3.0756 1.3398 -1.2211
Mg 0.0000 0.0000 0.0000
```

- SG = No. 12
- total DFT energy (no corrections) (eV/atom) = -4.36

(3)
# PmNdNi

An optimized crystal structure of PmNdNi (PBE, Alexandria).

Cell and atoms, written as extended XYZ:
```
3
Lattice="-3.4212 1.0418 -3.3292 -1.3561 -3.3858 -3.2513 -4.4210 -2.0566 0.3142" Properties=species:S:1:pos:R:3 pbc="T T T"
Pm -4.5992 -2.2003 -3.1331
Nd 0.0000 0.0000 0.0000
Ni -2.2996 -1.1001 -1.5666
```

- SG = No. 216
- total DFT energy (no corrections) (eV/atom) = -5.15

(4)
# MnVCo3

An optimized crystal structure of MnVCo3 (PBE, Alexandria).

Cell and atoms, written as extended XYZ:
```
10
Lattice="4.8507 0.0000 0.0000 0.0000 5.1179 0.6180 0.0000 -2.0222 4.7418" Properties=species:S:1:pos:R:3 pbc="T T T"
V 1.2127 -0.0351 3.5942
V 3.6380 3.1308 1.7657
Co 1.2127 2.3051 3.5892
Co 3.6380 -0.3330 3.7662
Co 3.6380 1.9569 3.7903
Co 1.2127 3.4286 1.5937
Co 3.6380 0.7905 1.7707
Co 1.2127 1.1387 1.5696
Mn 2.4254 0.0000 0.0000
Mn 0.0000 0.0000 0.0000
```

- SG = No. 63
- total DFT energy (no corrections) (eV/atom) = -7.46

(5)
# SrHfBr3

An optimized crystal structure of SrHfBr3 (PBE, Alexandria).

Cell and atoms, written as extended XYZ:
```
5
Lattice="5.3292 0.0000 0.0000 0.0000 5.3292 0.0000 0.0000 0.0000 5.3292" Properties=species:S:1:pos:R:3 pbc="T T T"
Br 2.6646 0.0000 0.0000
Br 0.0000 0.0000 2.6646
Br 0.0000 2.6646 0.0000
Sr 2.6646 2.6646 2.6646
Hf 0.0000 0.0000 0.0000
```

- SG = No. 221
- formation energy (no corrections) (eV per atom) = -0.7256

(6)
# Y6AlRu2

An optimized crystal structure of Y6AlRu2 (PBE, Alexandria).

Cell and atoms, written as extended XYZ:
```
18
Lattice="-4.8554 4.6424 -5.1297 -1.4701 -8.2799 -0.8499 -1.5533 1.5016 8.1715" Properties=species:S:1:pos:R:3 pbc="T T T"
Y -3.8473 0.4888 -3.6694
Y -5.7475 3.7497 1.0981
Y -2.1312 -5.8856 1.0937
Y -4.8791 -1.8245 -1.1707
Y -3.5360 -5.8519 4.3702
Y -4.3428 3.7160 -2.1784
Y -4.9220 -3.2101 2.4183
Y -2.9568 1.0742 -0.2265
Y -4.0315 -2.6247 5.8612
Y -1.9779 -2.3586 0.5970
Y -2.9996 -0.3114 3.3625
Y -5.9009 0.2227 1.5948
Al 0.0000 0.0000 0.0000
Al -1.5117 -3.3892 3.6608
Ru -4.2930 -4.3528 -0.2527
Ru -3.5857 2.2169 2.4445
Ru -2.0020 -1.1513 -1.8926
Ru -4.3234 -2.4862 -4.0871
```

- SG = No. 71
- total DFT energy (no corrections) (eV/atom) = -7.13

(7)
# Dy8CuOs2

An optimized crystal structure of Dy8CuOs2 (PBE, Alexandria).

Cell and atoms, written as extended XYZ:
```
11
Lattice="-5.3075 0.7789 -2.1532 1.9819 -6.2504 -3.8179 -1.8053 -1.6406 7.1848" Properties=species:S:1:pos:R:3 pbc="T T T"
Dy -4.1271 -4.4429 -3.4531
Dy -0.9232 -2.7940 0.8528
Dy -6.1987 -1.9213 2.5654
Dy -2.4111 -5.4027 3.3199
Dy -2.5626 -1.8024 -2.0140
Dy -4.0900 -4.3674 0.4220
Dy -1.4076 -6.6241 0.4046
Dy -3.5665 -0.5804 0.9027
Cu -0.6766 0.0963 -0.2732
Os -3.2089 -2.7366 2.7245
Os -1.7818 -4.4736 -1.4214
```

- SG = No. 8
- total DFT energy (no corrections) (eV/atom) = -5.87

(8)
# Np2SbH

An optimized crystal structure of Np2SbH (PBE, Alexandria).

Cell and atoms, written as extended XYZ:
```
4
Lattice="5.2355 -0.0320 1.4520 2.1863 2.6330 1.1487 0.5656 -0.2368 5.1409" Properties=species:S:1:pos:R:3 pbc="T T T"
H 5.5858 2.1695 2.1192
Sb 3.8769 0.4497 3.6455
Np 1.7146 0.7994 1.2875
Np 0.8038 0.1278 4.5602
```

- SG = No. 8
- total DFT energy (no corrections) (eV/atom) = -8.51

(9)
# Y2ZrCu

An optimized crystal structure of Y2ZrCu (PBE, Alexandria).

Cell and atoms, written as extended XYZ:
```
4
Lattice="0.0000 3.6533 3.6533 3.6533 0.0000 3.6533 3.6533 3.6533 0.0000" Properties=species:S:1:pos:R:3 pbc="T T T"
Zr 3.6533 3.6533 3.6533
Y 5.4799 5.4799 5.4799
Y 1.8266 1.8266 1.8266
Cu 0.0000 0.0000 0.0000
```

- SG = No. 225
- total DFT energy (no corrections) (eV/atom) = -6.16

(10)
# KCa10P7O28

An optimized crystal structure of KCa10P7O28 (PBE, Alexandria).

Cell and atoms, written as extended XYZ:
```
92
Lattice="10.6066 0.0000 0.0000 5.3033 9.1855 0.0000 5.3033 3.0618 12.5186" Properties=species:S:1:pos:R:3 pbc="T T T"
O 14.4392 8.3107 6.5174
O 11.2966 10.9381 7.9699
O 12.0084 2.6038 0.7148
O 5.3033 3.0618 5.9109
O 11.1342 9.6194 10.9661
O 13.6361 7.7016 11.5646
O 10.5842 1.7110 6.5174
O 4.3463 5.2871 3.1099
O 7.5770 1.5779 5.3053
O 6.7962 8.3494 6.5174
O 12.1389 6.8141 9.6592
O 8.9746 2.3960 9.5789
O 3.8104 2.2257 0.2581
O 12.0854 6.1807 1.7106
O 13.0189 3.2772 3.3196
O 8.5945 7.8946 4.7068
O 8.1942 9.4009 9.5789
O 4.2825 7.0733 0.4078
O 11.9707 0.9818 3.3999
O 9.2877 1.9401 0.4078
O 2.3397 0.1721 0.4078
O 9.9165 4.8144 1.7106
O 6.9352 5.4578 3.3196
O 3.8546 1.1204 3.1099
O 10.4383 4.4514 9.6592
O 12.9539 9.0977 0.7148
O 11.9255 8.0638 6.6671
O 8.2669 6.2958 6.6671
O 2.8813 1.8347 5.3053
O 5.4715 7.5133 3.3999
O 11.6273 4.0114 6.6671
O 5.4516 5.7729 5.3053
O 6.8573 6.6696 0.7148
O 11.8656 9.6361 3.3196
O 14.3775 9.8760 3.3999
O 9.2047 8.7275 6.9741
O 5.3256 4.7728 0.2581
O 13.1463 6.9807 4.7068
O 7.3153 4.8328 10.9661
O 16.8668 11.4108 9.3692
O 18.3318 7.9584 11.5646
O 13.5625 6.0359 6.9741
O 14.6508 6.5742 9.5789
O 6.7739 2.1870 0.2581
O 7.7089 2.7780 3.1099
O 6.0921 4.3141 7.9699
O 14.4309 3.1189 7.9699
O 17.3585 7.2441 9.3692
O 10.0789 3.4958 4.7068
O 13.5042 8.9017 9.3692
O 9.0525 3.6077 6.9741
O 15.9098 9.1855 12.1702
O 9.8177 7.3759 1.7106
O 9.2424 7.1055 9.6592
O 15.7615 11.8966 11.5646
O 13.3701 3.9189 10.9661
P 8.2239 7.7706 6.2076
P 5.5518 6.0002 3.7725
P 7.6859 4.7087 12.4669
P 5.3033 3.0618 7.4707
P 10.8415 9.3605 12.4669
P 2.6343 1.8079 3.7725
P 13.4894 7.5012 10.0318
P 7.7237 1.3775 3.7725
P 10.6065 6.1237 1.2114
P 13.2241 7.3637 6.2076
P 10.3716 3.2368 6.2076
P 13.2923 4.3018 12.4669
P 7.9722 7.9316 10.0318
P 10.3581 2.9384 10.0318
Ca 15.9586 6.6675 7.5542
Ca 7.6226 8.0789 2.4773
Ca 13.7548 10.2348 11.5079
Ca 13.9236 4.4035 5.2486
Ca 7.5084 4.2786 1.2949
Ca 15.9098 9.1855 4.9922
Ca 3.1470 4.3631 1.2949
Ca 12.7246 4.6684 8.7365
Ca 8.2872 5.0171 8.7365
Ca 10.4378 9.8565 5.2486
Ca 18.0661 10.4868 7.5542
Ca 13.7918 7.7303 2.4773
Ca 13.7048 10.4023 7.5542
Ca 5.2545 0.5438 1.2949
Ca 10.4053 2.5619 2.4773
Ca 16.0786 6.7946 11.5079
Ca 17.8960 10.5272 11.5079
Ca 10.8079 8.6856 8.7365
Ca 7.4583 4.1111 5.2486
Ca 10.6066 6.1237 11.2515
K 10.6066 6.1237 4.4346
K 5.3033 3.0618 10.6939
```

- SG = No. 161
- formation energy (no corrections) (eV per atom) = -2.8696

(11)
# LaNiW2

An optimized crystal structure of LaNiW2 (PBE, Alexandria).

Cell and atoms, written as extended XYZ:
```
4
Lattice="-2.9468 -0.5163 3.2885 4.2543 -4.1537 0.2676 2.0064 1.0812 2.1929" Properties=species:S:1:pos:R:3 pbc="T T T"
Ni 0.6538 -2.3350 1.7780
W 0.0000 0.0000 0.0000
W -0.4702 0.2824 2.7407
La 3.1303 -1.5362 1.2302
```

- SG = No. 12
- total DFT energy (no corrections) (eV/atom) = -8.48

(12)
# Hf2NbIrN

An optimized crystal structure of Hf2NbIrN (PBE, Alexandria).

Cell and atoms, written as extended XYZ:
```
5
Lattice="4.3912 0.0000 0.0000 0.0000 4.3912 0.0000 0.0000 0.0000 4.1780" Properties=species:S:1:pos:R:3 pbc="T T T"
Ir 2.1956 2.1956 2.0890
Hf 0.0000 2.1956 0.0000
Hf 2.1956 0.0000 0.0000
N 0.0000 0.0000 0.0000
Nb 0.0000 0.0000 2.0890
```

- SG = No. 123
- formation energy (no corrections) (eV per atom) = -0.8946

(13)
# CaSmZn10

An optimized crystal structure of CaSmZn10 (PBE, Alexandria).

Cell and atoms, written as extended XYZ:
```
12
Lattice="-3.8913 1.6257 -0.5717 0.3789 -0.9449 -5.2662 -3.7040 -8.4280 1.2457" Properties=species:S:1:pos:R:3 pbc="T T T"
Zn -4.6542 -5.7937 -0.6364
Zn -4.4613 -6.2747 -3.3171
Zn -0.4427 -1.9110 -2.4205
Zn -2.4574 -5.5914 0.8264
Zn -2.8823 -7.4620 -1.6000
Zn -1.2466 -2.8366 0.4193
Zn -3.7977 -3.4011 0.3370
Zn -2.7551 -1.4725 -1.2751
Zn -2.5622 -1.9535 -3.9558
Zn -1.7562 0.3404 -2.9190
Sm 0.0000 0.0000 0.0000
Ca -1.6625 -4.6865 -2.0103
```

- SG = No. 47
- total DFT energy (no corrections) (eV/atom) = -1.88

(14)
# CoSnPt2

An optimized crystal structure of CoSnPt2 (PBE, Alexandria).

Cell and atoms, written as extended XYZ:
```
8
Lattice="-3.3877 -1.8900 0.2848 1.8838 -3.3997 -0.1538 0.0062 -2.6356 9.1456" Properties=species:S:1:pos:R:3 pbc="T T T"
Sn -2.0668 -3.5852 4.7479
Sn 0.0000 0.0000 0.0000
Pt 0.7038 -3.0487 2.2302
Pt -1.8287 -2.2363 2.4408
Pt -1.3400 -6.5534 6.9761
Pt -0.5306 -4.0121 6.9060
Co -0.7520 -2.6448 0.0655
Co 0.5690 -4.3401 4.5286
```

- SG = No. 122
- total DFT energy (no corrections) (eV/atom) = -5.74

(15)
# MgTc2Os

An optimized crystal structure of MgTc2Os (PBE, Alexandria).

Cell and atoms, written as extended XYZ:
```
4
Lattice="2.7833 0.0000 0.0000 0.0000 2.7833 0.0000 0.0000 0.0000 7.9198" Properties=species:S:1:pos:R:3 pbc="T T T"
Mg 0.0000 0.0000 4.0262
Tc 0.0000 0.0000 7.8252
Tc 1.3916 1.3916 1.8633
Os 1.3916 1.3916 6.0848
```

- SG = No. 99
- total DFT energy (no corrections) (eV/atom) = -8.22

(16)
# Nd4GaTe

An optimized crystal structure of Nd4GaTe (PBE, Alexandria).

Cell and atoms, written as extended XYZ:
```
24
Lattice="4.6665 0.0000 0.0000 0.0000 7.6960 0.0000 0.0000 0.0000 20.7046" Properties=species:S:1:pos:R:3 pbc="T T T"
Ga 1.1666 1.7755 19.3466
Ga 3.4999 5.9205 1.3581
Ga 3.4999 2.0725 8.9942
Ga 1.1666 5.6235 11.7104
Te 1.1666 5.5427 5.9736
Te 3.4999 2.1533 14.7310
Te 3.4999 6.0013 16.3259
Te 1.1666 1.6947 4.3787
Nd 3.4999 7.4417 19.2406
Nd 1.1666 4.5395 2.8485
Nd 3.4999 2.7303 0.7928
Nd 1.1666 0.5577 16.3230
Nd 1.1666 4.4057 14.7339
Nd 1.1666 1.1177 11.1451
Nd 3.4999 7.1383 4.3816
Nd 3.4999 6.5783 9.5595
Nd 1.1666 4.1024 8.8882
Nd 3.4999 3.5936 11.8164
Nd 1.1666 0.2544 1.4641
Nd 3.4999 7.0045 13.2008
Nd 1.1666 4.9657 19.9118
Nd 1.1666 0.6915 7.5039
Nd 3.4999 3.1565 17.8562
Nd 3.4999 3.2903 5.9707
```

- SG = No. 62
- formation energy (no corrections) (eV per atom) = -0.6370

(17)
# HfZr2Rh

An optimized crystal structure of HfZr2Rh (PBE, Alexandria).

Cell and atoms, written as extended XYZ:
```
8
Lattice="-6.9524 -3.2584 -1.2601 2.9866 -4.0873 -5.9089 -1.3150 -5.7966 -1.7778" Properties=species:S:1:pos:R:3 pbc="T T T"
Zr -2.3370 -7.2888 -4.2917
Zr -4.5928 -10.5883 -7.3363
Zr -3.9831 -3.8477 -1.9131
Zr 0.3512 -4.5599 -4.3526
Hf -5.1252 -6.3639 -3.3112
Hf 0.0000 0.0000 0.0000
Rh -0.1557 -6.7784 -5.6356
Rh -1.9829 -3.6728 -3.5845
```

- SG = No. 122
- total DFT energy (no corrections) (eV/atom) = -8.67

(18)
# Er3Ga

An optimized crystal structure of Er3Ga (PBE, Alexandria).

Cell and atoms, written as extended XYZ:
```
16
Lattice="-2.6798 0.5455 5.3770 -2.2172 -8.1564 3.1064 6.2111 -0.3236 6.5123" Properties=species:S:1:pos:R:3 pbc="T T T"
Er 4.8354 -3.4243 7.8055
Er -0.3318 -5.3547 7.3462
Er 1.8802 -7.9407 10.2018
Er 1.4872 -2.5474 7.9679
Er 0.8599 -0.2403 5.5565
Er 3.7730 -1.5393 10.4972
Er 0.7744 -0.2666 2.1042
Er -3.7995 -6.1222 7.1882
Er 0.6195 -4.6593 10.7329
Er 0.8533 -3.3074 3.9443
Er -0.9076 -7.4169 12.1717
Er -2.1595 -4.7874 4.4577
Ga -1.0565 -2.5620 6.3499
Ga 2.4904 -5.3968 8.4052
Ga -2.0991 -5.7195 9.8373
Ga 3.2933 -2.1905 5.3989
```

- SG = No. 82
- total DFT energy (no corrections) (eV/atom) = -4.44

(19)
# Re4MoSe8

An optimized crystal structure of Re4MoSe8 (PBE, Alexandria).

Cell and atoms, written as extended XYZ:
```
13
Lattice="6.3713 0.0010 -3.4401 -4.1112 5.9582 -0.0002 -0.0704 -0.0481 7.4983" Properties=species:S:1:pos:R:3 pbc="T T T"
Se 0.0778 4.4527 3.9698
Se 5.2861 1.4589 -1.6257
Se -3.0965 4.4522 5.6837
Se 2.1119 1.4584 0.0882
Se 3.2379 4.4274 -1.6258
Se 0.0458 4.4302 0.0822
Se 2.1439 1.4809 3.9758
Se -1.0482 1.4837 5.6838
Re 0.0000 0.0000 0.0000
Re 3.1856 0.0005 -1.7200
Re 4.2453 2.9320 4.0581
Re 1.1301 2.9796 -1.7202
Mo -2.0908 2.9551 3.7490
```

- SG = No. 166
- formation energy (no corrections) (eV per atom) = 0.2522